! PuReB4 | Alexandria | PBE | relaxed; values from VASP
&SYSTEM
  ibrav = 0, nat = 12, ntyp = 3
/
ATOMIC_SPECIES
Pu 244.00 Pu.upf
Re 186.21 Re.upf
B 10.81 B.upf
ATOMIC_POSITIONS angstrom
Pu 0.0000 0.0000 0.0000
Pu 1.5671 2.7383 3.5069
Re 0.0000 0.0000 3.5069
Re 1.5671 2.7383 0.0000
B 0.0000 1.8306 1.7245
B 0.0000 1.8306 5.2894
B 0.0000 3.6460 1.7245
B 0.0000 3.6460 5.2894
B 1.5671 0.9077 1.7825
B 1.5671 0.9077 5.2314
B 1.5671 4.5689 1.7825
B 1.5671 4.5689 5.2314
CELL_PARAMETERS angstrom
3.1342 0.0000 0.0000
0.0000 5.4766 0.0000
0.0000 0.0000 7.0139
! ΔE_f, eV/atom: -0.173
! N(E_F), states/eV/cell: 10.25
! Energy above the lowest structure with this stoichiometry, kcal/mol of atoms: 7.56
! Volume, Å³/f.u.: 60